[1]
DFT (PBE) results for a geometry-optimized Sr2Cd4InAg3 structure.

Structure (extended XYZ):
```
10
Lattice="4.485 0.000 0.000 0.000 4.485 0.000 0.000 0.000 12.991" Properties=species:S:1:pos:R:3 pbc="T T T"
Sr 0.000 2.242 3.157
Sr 2.242 0.000 9.834
Cd 0.000 0.000 0.000
Cd 0.000 2.242 8.383
Cd 2.242 0.000 4.607
Cd 2.242 2.242 0.000
In 0.000 0.000 6.495
Ag 0.000 2.242 11.151
Ag 2.242 0.000 1.840
Ag 2.242 2.242 6.495
```

Output
E in eV/atom: -2.0666
Energy relative to the elements in eV per atom: -0.235

***

[2]
DFT (PBE) results for a geometry-optimized YPIr2 structure.

Structure (extended XYZ):
```
4
Lattice="4.079 0.000 0.000 0.000 4.079 0.000 0.000 0.000 4.536" Properties=species:S:1:pos:R:3 pbc="T T T"
Y 0.000 0.000 0.000
P 2.040 2.040 3.178
Ir 0.000 2.040 2.123
Ir 2.040 0.000 2.123
```

Output
E in eV/atom: -8.1840
Energy relative to the elements in eV per atom: -0.785

***

[3]
DFT (PBE) results for a geometry-optimized UTeCl structure.

Structure (extended XYZ):
```
6
Lattice="6.994 0.000 0.000 0.000 4.164 0.000 -0.770 0.000 7.304" Properties=species:S:1:pos:R:3 pbc="T T T"
U 0.000 0.000 0.000
U 3.497 2.082 0.000
Te 1.137 2.082 1.940
Te 5.087 2.082 5.365
Cl 1.602 0.000 5.792
Cl 4.622 0.000 1.512
```

Output
Uncorrected formation energy in eV/atom: -0.9708
E in eV/atom: -6.3963

***

[4]
DFT (PBE) results for a geometry-optimized ScTeOs structure.

Structure (extended XYZ):
```
3
Lattice="3.279 0.000 0.000 -1.639 2.839 0.000 0.000 0.000 6.568" Properties=species:S:1:pos:R:3 pbc="T T T"
Sc 0.000 0.000 0.000
Te 1.639 0.946 2.520
Os 0.000 1.893 4.684
```

Output
Uncorrected formation energy in eV/atom: 0.1612
E in eV/atom: -6.7398

***

[5]
DFT (PBE) results for a geometry-optimized TaFeGeTe2Pd structure.

Structure (extended XYZ):
```
12
Lattice="12.027 0.000 0.000 0.000 3.892 0.000 -2.336 0.000 5.328" Properties=species:S:1:pos:R:3 pbc="T T T"
Ta 0.000 0.000 0.000
Ta 6.013 1.946 0.000
Fe 5.150 0.000 1.337
Fe 11.163 1.946 1.337
Ge 1.459 1.946 1.228
Ge 7.472 0.000 1.228
Te 1.573 0.000 4.487
Te 4.010 1.946 2.513
Te 7.586 1.946 4.487
Te 10.023 0.000 2.513
Pd -0.362 1.946 4.062
Pd 5.652 0.000 4.062
```

Output
Uncorrected formation energy in eV/atom: -0.0109
E in eV/atom: -6.0791
Distance to the lowest polymorph of the same formula in meV/atom: 268

***

[6]
DFT (PBE) results for a geometry-optimized HoNpSe3 structure.

Structure (extended XYZ):
```
20
Lattice="7.673 0.000 0.000 0.000 4.086 0.000 0.000 0.000 15.730" Properties=species:S:1:pos:R:3 pbc="T T T"
Ho 1.801 1.022 0.663
Ho 2.035 3.065 8.528
Ho 5.638 1.022 7.202
Ho 5.872 3.065 15.067
Np 1.055 3.065 4.608
Np 2.781 1.022 12.473
Np 4.892 3.065 3.257
Np 6.618 1.022 11.122
Se 0.061 3.065 1.685
Se 0.941 1.022 6.820
Se 1.131 3.065 11.321
Se 2.705 1.022 3.456
Se 2.895 3.065 14.685
Se 3.776 1.022 9.550
Se 3.897 3.065 6.180
Se 4.778 1.022 1.046
Se 4.968 3.065 12.274
Se 6.542 1.022 4.409
Se 6.732 3.065 8.911
Se 7.613 1.022 14.045
```

Output
Uncorrected formation energy in eV/atom: -1.5120
E in eV/atom: -7.1064
Distance to the lowest polymorph of the same formula in meV/atom: 0

***

- Among the records above, which one has the highest E?
  Sr2Cd4InAg3

***

- Among the records above, which one has the highest E?
  Sr2Cd4InAg3

***

What did the first record say?
DFT (PBE) results for a geometry-optimized Sr2Cd4InAg3 structure.

Structure (extended XYZ):
```
10
Lattice="4.485 0.000 0.000 0.000 4.485 0.000 0.000 0.000 12.991" Properties=species:S:1:pos:R:3 pbc="T T T"
Sr 0.000 2.242 3.157
Sr 2.242 0.000 9.834
Cd 0.000 0.000 0.000
Cd 0.000 2.242 8.383
Cd 2.242 0.000 4.607
Cd 2.242 2.242 0.000
In 0.000 0.000 6.495
Ag 0.000 2.242 11.151
Ag 2.242 0.000 1.840
Ag 2.242 2.242 6.495
```

Output
E in eV/atom: -2.0666
Energy relative to the elements in eV per atom: -0.235

***

- Number 1 is which compound?
  Sr2Cd4InAg3